[1]
A crystal of KBaLi2 relaxed with PBEsol. Source: Alexandria via LeMat-Bulk, functional SCAN.

Cell lengths 7.580, 7.730, 7.730 Å; angles 76.09, 60.64, 60.64 degrees
Element x y z (fractional)
K1 0.250 0.500 0.500
K2 0.500 0.000 0.000
Ba1 0.750 0.500 0.500
Ba2 0.000 0.000 0.000
Li1 0.142 0.983 0.483
Li2 0.608 0.017 0.517
Li3 0.375 0.483 0.017
Li4 0.875 0.517 0.983

Values from the calculation:
As for the density: 1.84 g/cm³. The offset from the most stable computed form comes out at 120 meV/atom. For the formation energy, the calculation gives 90 kJ/mol of formula units. For the energy, the calculation gives -103.5 eV per cell.

---

[2]
A crystal of Sr4GaCN5 relaxed with PBEsol. Source: Alexandria via LeMat-Bulk, functional SCAN.

Cell lengths 7.376, 7.374, 13.447 Å; angles 98.02, 90.00, 90.00 degrees
Element x y z (fractional)
Sr1 0.249 0.996 0.022
Sr2 0.156 0.168 0.329
Sr3 0.969 0.784 0.180
Sr4 0.680 0.017 0.355
Sr5 0.820 0.517 0.355
Sr6 0.251 0.496 0.022
Sr7 0.844 0.832 0.671
Sr8 0.751 0.004 0.978
Sr9 0.180 0.483 0.645
Sr10 0.344 0.668 0.329
Sr11 0.531 0.284 0.180
Sr12 0.469 0.716 0.820
Sr13 0.031 0.216 0.820
Sr14 0.656 0.332 0.671
Sr15 0.320 0.983 0.645
Sr16 0.749 0.504 0.978
Ga1 0.482 0.208 0.856
Ga2 0.982 0.292 0.144
Ga3 0.518 0.792 0.144
Ga4 0.018 0.708 0.856
C1 0.446 0.297 0.454
C2 0.554 0.703 0.546
C3 0.054 0.797 0.454
C4 0.946 0.203 0.546
N1 0.346 0.359 0.781
N2 0.495 0.357 0.376
N3 0.893 0.276 0.474
N4 0.107 0.724 0.526
N5 0.505 0.643 0.624
N6 0.006 0.743 0.997
N7 0.494 0.243 0.997
N8 0.994 0.257 0.003
N9 0.393 0.224 0.526
N10 0.359 0.959 0.222
N11 0.654 0.641 0.219
N12 0.154 0.859 0.781
N13 0.005 0.857 0.376
N14 0.859 0.541 0.778
N15 0.846 0.141 0.219
N16 0.641 0.041 0.778
N17 0.506 0.757 0.003
N18 0.607 0.776 0.474
N19 0.995 0.143 0.624
N20 0.141 0.459 0.222

Values from the calculation:
As for the density: 4.61 g/cm³. For the energy, the calculation gives -687.6 eV per cell.

---

[3]
A crystal of BaPtF2 relaxed with PBEsol. Source: Alexandria via LeMat-Bulk, functional SCAN.

Cell lengths 4.456, 4.456, 8.330 Å; angles 105.51, 105.51, 90.00 degrees
Element x y z (fractional)
Ba1 0.750 0.250 0.500
Ba2 0.500 0.500 0.000
Pt1 0.250 0.750 0.500
Pt2 0.000 0.000 0.000
F1 0.306 0.875 0.250
F2 0.944 0.375 0.250
F3 0.125 0.056 0.750
F4 0.625 0.694 0.750

Values from the calculation:
As for the density: 8.03 g/cm³. The offset from the most stable computed form comes out at 0 meV/atom. For the energy, the calculation gives -247.8 eV per cell.

---

[4]
A crystal of KEuGeS4 relaxed with PBEsol. Source: Alexandria via LeMat-Bulk, functional SCAN.

Cell lengths 6.039, 6.761, 8.840 Å; angles 106.74, 90.00, 90.00 degrees
Element x y z (fractional)
Eu1 0.495 0.741 0.057
Eu2 0.995 0.259 0.943
K1 0.495 0.767 0.558
K2 0.995 0.233 0.442
S1 0.996 0.906 0.071
S2 0.496 0.094 0.929
S3 0.495 0.077 0.342
S4 0.995 0.923 0.658
S5 0.728 0.494 0.775
S6 0.228 0.506 0.225
S7 0.262 0.493 0.775
S8 0.762 0.507 0.225
Ge1 0.496 0.268 0.182
Ge2 0.996 0.732 0.818

Values from the calculation:
As for the density: 3.77 g/cm³. For the energy, the calculation gives -256.8 eV per cell.

---

[5]
A crystal of LiGe2Rh2 relaxed with PBEsol. Source: Alexandria via LeMat-Bulk, functional SCAN.

Cell lengths 4.053, 4.053, 5.820 Å; angles 110.38, 110.38, 90.00 degrees
Element x y z (fractional)
Ge1 0.378 0.378 0.756
Ge2 0.622 0.622 0.244
Rh1 0.250 0.750 0.500
Rh2 0.750 0.250 0.500
Li1 0.000 0.000 0.000

Values from the calculation:
As for the density: 7.14 g/cm³. For the formation energy, the calculation gives -302 kJ/mol of formula units. For the energy, the calculation gives -111.2 eV per cell.

---

[6]
A crystal of AlHS2 relaxed with PBEsol. Source: Alexandria via LeMat-Bulk, functional SCAN.

Cell lengths 3.538, 3.538, 6.158 Å; angles 73.30, 73.30, 60.00 degrees
Element x y z (fractional)
H1 0.000 0.000 0.000
S1 0.906 0.906 0.281
S2 0.094 0.094 0.719
Al1 0.500 0.500 0.500

Values from the calculation:
As for the density: 2.43 g/cm³. For the energy, the calculation gives -33.6 eV per cell.